Record 1
Here is a relaxed Rb4Th3TiSe8 crystal from Alexandria. Energies are from GGA-PBE.

Unit cell a=8.4279 b=9.4765 c=8.4276 alpha=116.40 beta=120.00 gamma=90.00
Each line ends with the local moment (μB).
Fractional positions:
Se: 0.2545 0.3026 0.0285  -0.01
Se: 0.7740 0.3026 0.0285  -0.01
Se: 0.7740 0.3026 0.5480  -0.01
Se: 0.2630 0.2891 0.5261  0.00
Se: 0.7455 0.6974 0.9715  -0.01
Se: 0.2260 0.6974 0.9715  -0.01
Se: 0.2260 0.6974 0.4520  -0.01
Se: 0.7370 0.7109 0.4739  0.00
Th: 0.5000 0.5000 0.0000  0.05
Th: 0.0000 0.5000 0.5000  0.05
Th: 0.5000 0.5000 0.5000  0.05
Rb: 0.0000 0.0000 0.5000  0.00
Rb: 0.5000 0.0000 0.0000  0.00
Rb: 0.0000 0.0000 0.0000  0.00
Rb: 0.5000 0.0000 0.5000  0.00
Ti: 0.0000 0.5000 0.0000  1.50

Energy relative to the elements, uncorrected (eV per atom): -1.43
D(E_F) (states/eV/cell): 9.9



Record 2
Here is a relaxed FeCu2Ir crystal from Alexandria. Energies are from GGA-PBE.

Unit cell a=8.7860 b=8.7860 c=8.7860 alpha=17.17 beta=17.17 gamma=17.17
Each line ends with the local moment (μB).
Fractional positions:
Fe: 0.2500 0.2500 0.2500  2.61
Cu: 0.5029 0.5029 0.5029  0.04
Cu: 0.9971 0.9971 0.9971  0.04
Ir: 0.7500 0.7500 0.7500  0.03

Formation energy from the elements (eV per atom): 0.1370
D(E_F) (states/eV/cell): 3.7



Record 3
Here is a relaxed CaDy2TmAu4 crystal from Alexandria. Energies are from GGA-PBE.

Unit cell a=5.0618 b=5.0618 c=8.8488 alpha=73.38 beta=73.38 gamma=60.00
Fractional positions:
Au: 0.3799 0.3799 0.8602
Au: 0.6201 0.6201 0.1398
Au: 0.1305 0.1305 0.6085
Au: 0.8695 0.8695 0.3915
Ca: 0.0000 0.0000 0.0000
Tm: 0.5000 0.5000 0.5000
Dy: 0.2514 0.2514 0.2460
Dy: 0.7486 0.7486 0.7540

Formation energy from the elements (eV per atom): -0.8558
D(E_F) (states/eV/cell): 3.9



Record 4
Here is a relaxed TaNb14Rh crystal from Alexandria. Energies are from GGA-PBE.

Unit cell a=5.7775 b=5.7775 c=9.1967 alpha=90.00 beta=90.00 gamma=110.31
Fractional positions:
Nb: 0.3755 0.1255 0.7471
Nb: 0.6250 0.8750 0.0000
Nb: 0.3755 0.1255 0.2529
Nb: 0.8762 0.1238 0.2528
Nb: 0.1250 0.3750 0.0000
Nb: 0.3738 0.6262 0.7472
Nb: 0.1250 0.3750 0.5000
Nb: 0.8762 0.1238 0.7472
Nb: 0.6250 0.3750 0.0000
Nb: 0.3738 0.6262 0.2528
Nb: 0.8745 0.6245 0.7471
Nb: 0.6250 0.8750 0.5000
Nb: 0.8745 0.6245 0.2529
Nb: 0.1250 0.8750 0.0000
Ta: 0.1250 0.8750 0.5000
Rh: 0.6250 0.3750 0.5000

Formation energy from the elements (eV per atom): -0.0820
D(E_F) (states/eV/cell): 25.0



Record 5
Here is a relaxed KCd2Hg crystal from Alexandria. Energies are from GGA-PBE.

Unit cell a=6.7095 b=6.7095 c=6.7095 alpha=44.10 beta=44.10 gamma=44.10
Fractional positions:
K: 0.7500 0.7500 0.7500
Cd: 0.5480 0.5480 0.5480
Cd: 0.9520 0.9520 0.9520
Hg: 0.2500 0.2500 0.2500

Formation energy from the elements (eV per atom): -0.0896
D(E_F) (states/eV/cell): 1.8



Record 6
Here is a relaxed NaMgSb3 crystal from Alexandria. Energies are from GGA-PBE.

Unit cell a=5.4717 b=5.4717 c=5.4717 alpha=90.00 beta=90.00 gamma=90.00
Fractional positions:
Mg: 0.0000 0.0000 0.0000
Sb: 0.0000 0.5000 0.0000
Sb: 0.5000 0.0000 0.0000
Sb: 0.0000 0.0000 0.5000
Na: 0.5000 0.5000 0.5000

Energy relative to the elements, uncorrected (eV per atom): 0.24
D(E_F) (states/eV/cell): 3.3